# BeSbBr3

A geometry-optimized BeSbBr3 structure (PBEsol, Alexandria).

Calculated values
D(E_F) = 0.3369 states/eV/atom
E_tot = -2.962 eV/atom
Calculated density = 5.6 g/cm3
Magnetic moment = 0.00 μB per formula unit
SG = Pm-3m, No. 221

Cell lengths 4.776, 4.776, 4.776 Å; angles 90.00, 90.00, 90.00 degrees
Element x y z (fractional)
Br  0.000  0.500  0.000
Sb  0.500  0.500  0.500
Br  0.000  0.000  0.500
Br  0.500  0.000  0.000
Be  0.000  0.000  0.000